MnBiF2: optimized geometry, PBE+U.

Structure (POSCAR):
```
MnBiF2
1.0
2.295 -1.862 3.490
0.214 2.176 4.017
-2.271 -1.642 3.614
F Mn Bi
2 1 1
Direct
0.250 0.250 0.250
0.750 0.750 0.750
0.000 0.000 0.000
0.500 0.500 0.500
```

Total magnetic moment = 4.04 μB/cell
Space-group type = Fm-3m (225)
Polymorph energy (0 for the lowest one) = 872 meV/atom
Total DFT energy (no corrections) = -4.70 eV per atom
DOS at the Fermi energy = 3.42 states/eV/cell